A plane-wave DFT calculation with PBE was carried out for a relaxed structure of MgTl2Cr.

Cell lengths 4.9624, 4.9624, 3.6965 Å; angles 90.00, 90.00, 90.00 degrees
Closest atoms and distances in Å follow each position.
Space group P4/mmm (No. 123)
One atom of each set of equivalent atoms:
1 Mg 0.0000 0.0000 0.0000 [1 per cell]  8 Tl 3.09
2 Tl 0.0000 0.5000 0.5000 [2 per cell]  4 Cr 3.09, 4 Mg 3.09
3 Cr 0.5000 0.5000 0.0000 [1 per cell]  8 Tl 3.09

Values from the calculation:
- DFT formation energy (eV per atom) = 0.3271
- total magnetization (μB/atom) = 1.07

=====

A plane-wave DFT calculation with PBE was carried out for a relaxed structure of PrNpPaN3.

Cell lengths 7.0996, 3.4536, 8.6551 Å; angles 90.00, 92.23, 90.00 degrees
Closest atoms and distances in Å follow each position.
Space group P2_1/m (No. 11)
One atom of each set of equivalent atoms:
1 Pr 0.1152 0.2500 0.3377 [2 per cell]  7 N 2.62-2.74
2 Np 0.1991 0.2500 0.9404 [2 per cell]  3 N 2.23-2.27
3 Pa 0.3862 0.7500 0.6516 [2 per cell]  5 N 2.19-2.37
4 N 0.1143 0.7500 0.0925 [2 per cell]  3 Np 2.23-2.27
5 N 0.1629 0.2500 0.6397 [2 per cell]  2 Pa 2.34, 1 Np 2.61, 1 Pr 2.62
6 N 0.3959 0.7500 0.3989 [2 per cell]  3 Pa 2.19-2.37

Values from the calculation:
- VASP energy (eV per atom) = -9.827
- total magnetization (μB/atom) = 0.77